[1]
ScMnTc GGA-PBE optimized geometry; energy relative to the elements = 1.067 eV per atom; N(E_F) = 4.796 states/eV/cell; polymorph energy (0 for the lowest one) = 1.280 eV per atom; spin magnetization = 3.669 μB per formula unit
1.0
-0.163 -3.756 -2.135
3.658 -1.942 -1.240
1.277 -3.646 1.940
Mn Sc Tc
1 1 1
Cartesian
2.386 -4.672 -0.717
3.579 -7.008 -1.076
0.000 0.000 0.000



[2]
ScMnTc3 GGA-PBE optimized geometry; energy relative to the elements = 0.669 eV per atom; N(E_F) = 4.054 states/eV/cell; polymorph energy (0 for the lowest one) = 0.000 eV per atom; spin magnetization = 0.000 μB per formula unit
1.0
4.439 0.000 0.000
0.000 4.439 0.000
0.000 0.000 4.439
Sc Mn Tc
1 1 3
Cartesian
2.219 2.219 2.219
0.000 0.000 0.000
0.000 2.219 0.000
0.000 0.000 2.219
2.219 0.000 0.000



[3]
ScMn2Tc GGA-PBE optimized geometry; energy relative to the elements = 0.211 eV per atom; N(E_F) = 6.464 states/eV/cell; polymorph energy (0 for the lowest one) = 0.183 eV per atom; spin magnetization = 5.516 μB per formula unit
1.0
3.998 0.000 0.000
0.000 3.890 0.000
0.000 0.000 3.890
Mn Sc Tc
2 1 1
Cartesian
0.000 0.000 0.000
0.000 1.945 1.945
1.999 1.945 0.000
1.999 0.000 1.945



[4]
ScMn2Tc GGA-PBE optimized geometry; energy relative to the elements = 0.115 eV per atom; N(E_F) = 5.266 states/eV/cell; polymorph energy (0 for the lowest one) = 0.088 eV per atom; spin magnetization = 0.540 μB per formula unit
1.0
2.774 0.019 0.000
-0.018 2.774 0.000
0.000 0.000 7.379
Mn Sc Tc
2 1 1
Cartesian
0.000 0.000 0.215
1.378 1.397 1.489
0.000 0.000 3.541
1.378 1.397 5.824



[5]
ScMn5Tc GGA-PBE optimized geometry; energy relative to the elements = -0.088 eV per atom; N(E_F) = 27.593 states/eV/cell; spin magnetization = 3.597 μB per formula unit
1.0
4.737 0.000 0.000
0.000 7.926 0.000
0.000 0.000 9.876
Sc Mn Tc
4 20 4
Cartesian
1.184 1.964 9.265
3.553 1.999 4.327
1.184 5.926 5.549
3.553 5.962 0.611
1.184 4.637 0.264
3.553 7.252 5.202
1.184 0.674 4.674
3.553 3.289 9.612
3.553 2.436 7.382
1.184 1.527 2.444
3.553 6.399 7.431
1.184 5.490 2.493
1.184 7.496 0.880
3.553 4.393 5.818
1.184 3.533 4.058
3.553 0.430 8.996
4.690 3.389 1.878
0.046 0.574 6.816
2.415 7.352 3.060
2.322 4.537 7.998
0.046 4.537 7.998
4.690 7.352 3.060
2.322 0.574 6.816
2.415 3.389 1.878
1.184 6.847 8.418
3.553 5.041 3.480
1.184 2.885 6.396
3.553 1.078 1.458



[6]
ScMnTc2 GGA-PBE optimized geometry; energy relative to the elements = 0.156 eV per atom; N(E_F) = 5.826 states/eV/cell; polymorph energy (0 for the lowest one) = 0.187 eV per atom; spin magnetization = 3.388 μB per formula unit
1.0
-3.899 1.419 -1.244
-1.628 -2.985 1.698
-0.301 1.996 3.220
Mn Sc Tc
1 1 2
Cartesian
-2.764 -0.783 0.227
-2.100 1.708 0.988
0.000 0.000 0.000
-0.965 -0.494 2.459



[7]
ScMn2Tc GGA-PBE optimized geometry; energy relative to the elements = 0.129 eV per atom; N(E_F) = 5.513 states/eV/cell; polymorph energy (0 for the lowest one) = 0.102 eV per atom; spin magnetization = 2.276 μB per formula unit
1.0
-1.426 4.190 -2.379
-0.584 2.145 -4.506
-4.056 -0.018 -1.588
Mn Sc Tc
2 1 1
Cartesian
-2.045 6.231 -6.799
-2.999 3.263 -4.323
-4.550 4.738 -6.355
-1.517 1.579 -2.118



[8]
ScMnTc2 GGA-PBE optimized geometry; energy relative to the elements = -0.031 eV per atom; N(E_F) = 3.715 states/eV/cell; polymorph energy (0 for the lowest one) = 0.000 eV per atom; spin magnetization = 2.251 μB per formula unit
1.0
-1.368 -4.290 2.611
0.102 -5.204 -0.002
3.207 -1.813 2.438
Mn Sc Tc
1 1 2
Cartesian
1.038 -5.537 2.521
0.469 -2.854 1.262
3.143 -1.924 2.441
1.468 -8.457 3.785



[9]
ScMn4Tc GGA-PBE optimized geometry; energy relative to the elements = -0.036 eV per atom; N(E_F) = 10.060 states/eV/cell; spin magnetization = 0.001 μB per formula unit
1.0
-3.650 1.277 2.806
-1.545 -2.970 3.409
0.771 1.035 4.600
Mn Sc Tc
4 1 1
Cartesian
-0.953 -1.042 5.357
-2.759 -0.410 6.745
-1.995 1.059 5.059
-3.141 -0.923 4.469
-1.106 -0.165 2.704
0.000 0.000 0.000



[10]
ScMn2Tc GGA-PBE optimized geometry; energy relative to the elements = 0.061 eV per atom; N(E_F) = 4.086 states/eV/cell; polymorph energy (0 for the lowest one) = 0.033 eV per atom; spin magnetization = 2.015 μB per formula unit
1.0
-1.103 -2.689 4.190
-0.012 -4.635 2.127
3.402 -0.876 2.626
Mn Sc Tc
2 1 1
Cartesian
-1.101 -7.303 6.306
1.814 -6.011 6.629
1.131 -4.117 4.482
0.472 -2.193 2.318